one | The following is a DFT calculation (PBE) of a relaxed structure of SrCaAu.

Cell: 5.488 6.331 6.204 Å, 104.68 90.69 90.51°
Element x y z (fractional)
Sr 0.251 0.413 0.715
Ca 0.255 0.002 0.178
Au 0.759 0.125 0.367
Au 0.245 0.883 0.636
Sr 0.754 0.595 0.288
Ca 0.749 0.006 0.825

Output
Volume = 209 Å³ per cell
DOS at the Fermi energy = 4.21 states/eV/cell
SG = P-1 (2)



two | The following is a DFT calculation (PBE) of a relaxed structure of SrCaAu.

Cell: 7.309 8.005 13.987 Å, 90.00 90.00 90.00°
Element x y z (fractional)
Au 0.225 0.457 0.907
Au 0.725 0.543 0.593
Ca 0.997 0.732 0.462
Au 0.275 0.457 0.407
Ca 0.997 0.232 0.038
Au 0.775 0.543 0.093
Ca 0.497 0.268 0.038
Sr 0.193 0.105 0.303
Sr 0.807 0.395 0.803
Ca 0.003 0.768 0.962
Sr 0.693 0.895 0.197
Au 0.275 0.957 0.093
Sr 0.807 0.895 0.697
Sr 0.693 0.395 0.303
Au 0.225 0.957 0.593
Sr 0.307 0.605 0.697
Au 0.725 0.043 0.907
Ca 0.503 0.232 0.538
Ca 0.003 0.268 0.538
Sr 0.193 0.605 0.197
Ca 0.497 0.768 0.462
Au 0.775 0.043 0.407
Ca 0.503 0.732 0.962
Sr 0.307 0.105 0.803

Output
Volume = 818 Å³ per cell
DOS at the Fermi energy = 16.12 states/eV/cell
SG = Pbca (61)



Energy ordering: two at the bottom, the next structure 0.067 eV/atom above.



one | The following is a DFT calculation (PBE) of a relaxed structure of SrCaAu.

Cell: 5.286 5.286 5.286 Å, 60.00 60.00 60.00°
Element x y z (fractional)
Au 0.750 0.750 0.750
Sr 0.500 0.500 0.500
Ca 0.000 0.000 0.000

Output
Volume = 104 Å³ per cell
DOS at the Fermi energy = 2.97 states/eV/cell
SG = F-43m (216)



two | The following is a DFT calculation (PBE) of a relaxed structure of SrCaAu.

Cell: 4.458 4.458 6.697 Å, 90.00 90.00 120.00°
Element x y z (fractional)
Ca 0.667 0.333 0.236
Au 0.000 0.000 0.016
Sr 0.333 0.667 0.748

Output
Volume = 115 Å³ per cell
DOS at the Fermi energy = 2.77 states/eV/cell
SG = P3m1 (156)



three | The following is a DFT calculation (PBE) of a relaxed structure of SrCaAu.

Cell: 4.334 7.755 6.778 Å, 74.05 71.35 73.77°
Element x y z (fractional)
Au 0.138 0.309 0.416
Ca 0.823 0.078 0.275
Ca 0.177 0.922 0.725
Sr 0.579 0.633 0.208
Sr 0.421 0.367 0.792
Au 0.862 0.691 0.584

Output
Volume = 203 Å³ per cell
DOS at the Fermi energy = 3.91 states/eV/cell
SG = C2/m (12)



Energy ordering: three at the bottom, the next structure 0.064 eV/atom above.



one | The following is a DFT calculation (PBE) of a relaxed structure of SrCaAu.

Cell: 7.302 7.301 3.808 Å, 74.89 74.88 30.23°
Element x y z (fractional)
Au 0.992 0.992 0.008
Sr 0.634 0.634 0.366
Ca 0.373 0.373 0.627

Output
Volume = 98 Å³ per cell
DOS at the Fermi energy = 2.79 states/eV/cell
SG = I4mm (107)



two | The following is a DFT calculation (PBE) of a relaxed structure of SrCaAu.

Cell: 5.261 5.261 5.261 Å, 60.00 60.00 60.00°
Element x y z (fractional)
Ca 0.500 0.500 0.500
Sr 0.750 0.750 0.750
Au 0.000 0.000 0.000

Output
Volume = 103 Å³ per cell
DOS at the Fermi energy = 2.82 states/eV/cell
SG = F-43m (216)



Energy ordering: one at the bottom, the next structure 0.642 eV/atom above.



one | The following is a DFT calculation (PBE) of a relaxed structure of Sr2CaYAu.

Cell: 6.135 6.135 5.653 Å, 90.00 90.00 90.00°
Element x y z (fractional)
Y 0.000 0.000 0.500
Ca 0.500 0.500 0.500
Sr 0.000 0.500 0.000
Sr 0.500 0.000 0.000
Au 0.000 0.000 0.000

Output
Volume = 213 Å³ per cell
DOS at the Fermi energy = 6.19 states/eV/cell
SG = P4/mmm (123)



two | The following is a DFT calculation (PBE) of a relaxed structure of Sr2CaYAu.

Cell: 6.042 5.735 6.042 Å, 90.00 90.00 90.00°
Element x y z (fractional)
Au 0.000 0.000 0.000
Y 0.500 0.500 0.500
Sr 0.500 0.000 0.000
Ca 0.000 0.500 0.000
Sr 0.000 0.000 0.500

Output
Volume = 209 Å³ per cell
DOS at the Fermi energy = 7.52 states/eV/cell
SG = P4/mmm (123)



Energy ordering: one at the bottom, the next structure 0.103 eV/atom above.



one | The following is a DFT calculation (PBE) of a relaxed structure of SrCaZnAu.

Cell: 5.328 5.328 5.328 Å, 60.00 60.00 60.00°
Element x y z (fractional)
Ca 0.750 0.750 0.750
Zn 0.000 0.000 0.000
Sr 0.250 0.250 0.250
Au 0.500 0.500 0.500

Output
Volume = 107 Å³ per cell
DOS at the Fermi energy = 3.35 states/eV/cell
SG = F-43m (216)



two | The following is a DFT calculation (PBE) of a relaxed structure of SrCaZnAu.

Cell: 4.308 4.609 6.136 Å, 90.00 110.55 90.00°
Element x y z (fractional)
Au 0.562 0.500 0.124
Sr 0.145 0.000 0.291
Zn 0.432 0.000 0.863
Ca 0.861 0.500 0.722

Output
Volume = 114 Å³ per cell
DOS at the Fermi energy = 2.05 states/eV/cell
SG = Amm2 (38)



Energy ordering: two at the bottom, the next structure 0.061 eV/atom above.



one | The following is a DFT calculation (PBE) of a relaxed structure of CaTa2Au.

Cell: 2.816 5.110 5.632 Å, 90.00 90.00 90.00°
Element x y z (fractional)
Ta 0.000 0.000 0.001
Ca 0.500 0.500 0.750
Au 0.500 0.500 0.250
Ta 0.000 0.000 0.499

Output
Volume = 81 Å³ per cell
DOS at the Fermi energy = 5.28 states/eV/cell
SG = Pmmm (47)



two | The following is a DFT calculation (PBE) of a relaxed structure of CaTa2Au.

Cell: 4.830 4.828 4.830 Å, 119.91 119.93 90.15°
Site moments in Bohr magnetons follow the coordinates.
Element x y z (fractional)
Ca 0.750 0.250 0.500  0.01
Au 0.500 0.500 0.000  0.01
Ta 0.250 0.750 0.500  0.08
Ta 0.000 0.000 0.000  0.19

Output
Volume = 80 Å³ per cell
DOS at the Fermi energy = 6.99 states/eV/cell
SG = I-4m2 (119)



three | The following is a DFT calculation (PBE) of a relaxed structure of CaTa2Au.

Cell: 4.983 4.983 3.167 Å, 90.00 90.00 90.00°
Element x y z (fractional)
Ca 0.000 0.500 0.500
Ta 0.000 0.000 0.000
Au 0.500 0.000 0.500
Ta 0.500 0.500 0.000

Output
Volume = 79 Å³ per cell
DOS at the Fermi energy = 3.87 states/eV/cell
SG = P4/mmm (123)



Energy ordering: two at the bottom, the next structure 0.091 eV/atom above.